Th2MgSb4 | PBE | relaxed Values from VASP.

## Properties
* symmetry: No. 115
* formation energy from raw total energies: -0.657 eV/atom

Geometry as Quantum ESPRESSO input:
```
&SYSTEM
  ibrav = 0, nat = 7, ntyp = 3
/
ATOMIC_SPECIES
Th 232.04 Th.upf
Mg 24.30 Mg.upf
Sb 121.76 Sb.upf
CELL_PARAMETERS angstrom
4.378 0.000 0.000
0.000 4.378 0.000
0.000 0.000 10.956
ATOMIC_POSITIONS angstrom
Th 0.000 2.189 2.423
Th 2.189 0.000 8.533
Mg 0.000 0.000 5.478
Sb 0.000 0.000 0.000
Sb 0.000 2.189 7.390
Sb 2.189 0.000 3.565
Sb 2.189 2.189 0.000
```

=====

Th4MgSb5 | PBE | relaxed Values from VASP.

## Properties
* symmetry: No. 139
* formation energy from raw total energies: -0.765 eV/atom

Geometry as Quantum ESPRESSO input:
```
&SYSTEM
  ibrav = 0, nat = 10, ntyp = 3
/
ATOMIC_SPECIES
Th 232.04 Th.upf
Mg 24.30 Mg.upf
Sb 121.76 Sb.upf
CELL_PARAMETERS angstrom
-2.242 2.242 15.853
2.242 -2.242 15.853
2.242 2.242 -15.853
ATOMIC_POSITIONS angstrom
Th 0.000 0.000 3.110
Th 0.000 0.000 9.494
Th 0.000 0.000 22.212
Th 0.000 0.000 28.596
Mg 0.000 0.000 15.853
Sb 0.000 0.000 0.000
Sb 0.000 0.000 6.305
Sb 0.000 0.000 12.752
Sb 0.000 0.000 18.955
Sb 0.000 0.000 25.401
```

=====

ThMgSb2 | PBE | relaxed Values from VASP.

## Properties
* symmetry: No. 160
* formation energy from raw total energies: -0.540 eV/atom

Geometry as Quantum ESPRESSO input:
```
&SYSTEM
  ibrav = 0, nat = 4, ntyp = 3
/
ATOMIC_SPECIES
Th 232.04 Th.upf
Mg 24.30 Mg.upf
Sb 121.76 Sb.upf
CELL_PARAMETERS angstrom
2.223 1.284 7.165
-2.223 1.284 7.165
0.000 -2.567 7.165
ATOMIC_POSITIONS angstrom
Th 0.000 0.000 0.000
Mg 0.000 0.000 3.671
Sb 0.000 0.000 9.030
Sb 0.000 0.000 12.469
```

=====

MgTiSb2 | PBE | relaxed Values from VASP.

## Properties
* symmetry: No. 166
* formation energy from raw total energies: -0.276 eV/atom

Geometry as Quantum ESPRESSO input:
```
&SYSTEM
  ibrav = 0, nat = 4, ntyp = 3
/
ATOMIC_SPECIES
Mg 24.30 Mg.upf
Ti 47.87 Ti.upf
Sb 121.76 Sb.upf
CELL_PARAMETERS angstrom
1.974 1.139 7.144
-1.974 1.139 7.144
0.000 -2.279 7.144
ATOMIC_POSITIONS angstrom
Mg 0.000 0.000 0.000
Ti 0.000 0.000 10.716
Sb 0.000 0.000 5.233
Sb 0.000 0.000 16.199
```

=====

Mg2Ti2Sb | PBE | relaxed Values from VASP.

## Properties
* symmetry: No. 127
* formation energy from raw total energies: 0.006 eV/atom

Geometry as Quantum ESPRESSO input:
```
&SYSTEM
  ibrav = 0, nat = 10, ntyp = 3
/
ATOMIC_SPECIES
Mg 24.30 Mg.upf
Ti 47.87 Ti.upf
Sb 121.76 Sb.upf
CELL_PARAMETERS angstrom
6.938 0.000 0.000
0.000 6.938 0.000
0.000 0.000 4.521
ATOMIC_POSITIONS angstrom
Mg 1.076 2.393 0.000
Mg 2.393 5.862 0.000
Mg 4.545 1.076 0.000
Mg 5.862 4.545 0.000
Ti 0.958 4.427 2.260
Ti 2.511 0.958 2.260
Ti 4.427 5.980 2.260
Ti 5.980 2.511 2.260
Sb 0.000 0.000 2.260
Sb 3.469 3.469 2.260
```

=====

MgTiSb2 | PBE | relaxed Values from VASP.

## Properties
* symmetry: No. 122
* formation energy from raw total energies: -0.038 eV/atom

Geometry as Quantum ESPRESSO input:
```
&SYSTEM
  ibrav = 0, nat = 8, ntyp = 3
/
ATOMIC_SPECIES
Mg 24.30 Mg.upf
Ti 47.87 Ti.upf
Sb 121.76 Sb.upf
CELL_PARAMETERS angstrom
-3.237 3.237 6.310
3.237 -3.237 6.310
3.237 3.237 -6.310
ATOMIC_POSITIONS angstrom
Mg 0.000 0.000 0.000
Mg 0.000 3.237 3.155
Ti 3.237 0.000 3.155
Ti 0.000 0.000 6.310
Sb 1.618 -1.453 4.733
Sb 1.784 1.618 1.578
Sb 1.618 4.689 -1.578
Sb 1.453 1.618 7.888
```

=====

MgTiSb | PBE | relaxed Values from VASP.

## Properties
* symmetry: No. 129
* formation energy from raw total energies: -0.446 eV/atom

Geometry as Quantum ESPRESSO input:
```
&SYSTEM
  ibrav = 0, nat = 6, ntyp = 3
/
ATOMIC_SPECIES
Mg 24.30 Mg.upf
Ti 47.87 Ti.upf
Sb 121.76 Sb.upf
CELL_PARAMETERS angstrom
4.212 0.000 0.000
0.000 4.212 0.000
0.000 0.000 7.155
ATOMIC_POSITIONS angstrom
Mg 1.053 1.053 1.311
Mg 3.159 3.159 5.844
Ti 1.053 3.159 3.577
Ti 3.159 1.053 3.577
Sb 1.053 1.053 5.547
Sb 3.159 3.159 1.607
```

=====

MgTi3Sb | PBE | relaxed Values from VASP.

## Properties
* symmetry: No. 221
* formation energy from raw total energies: 0.717 eV/atom

Geometry as Quantum ESPRESSO input:
```
&SYSTEM
  ibrav = 0, nat = 5, ntyp = 3
/
ATOMIC_SPECIES
Mg 24.30 Mg.upf
Ti 47.87 Ti.upf
Sb 121.76 Sb.upf
CELL_PARAMETERS angstrom
5.039 0.000 0.000
0.000 5.039 0.000
0.000 0.000 5.039
ATOMIC_POSITIONS angstrom
Mg 0.000 0.000 0.000
Ti 0.000 2.520 2.520
Ti 2.520 0.000 2.520
Ti 2.520 2.520 0.000
Sb 2.520 2.520 2.520
```

=====

Among the records above, which one has the lowest formation energy from raw total energies? Th4MgSb5

=====

formation energy from raw total energies of number 1 (Th2MgSb4)? -0.657 eV/atom